{
  "formula": "Pr2PuSe4",
  "functional": "GGA-PBE",
  "state": "optimized geometry",
  "spacegroup": "No. 122",
  "relative_energy_kcal_per_mol_atoms": 0.00,
  "e_form_raw_ev_per_atom": -1.78,
  "dos_at_fermi_per_ev_cell": 23.37,
  "cell": [[7.296, 0.000, -2.610], [-3.648, 6.335, -2.569], [0.000, 0.000, 7.749]],
  "species": ["Pr", "Pr", "Pr", "Pr", "Pu", "Pu", "Se", "Se", "Se", "Se", "Se", "Se", "Se", "Se"],
  "frac_coords": [[0.375, 0.876, 0.751], [0.501, 0.376, 0.625], [0.875, 0.124, 0.499], [0.249, 0.624, 0.125], [0.750, 0.500, 0.250], [0.000, 0.000, 0.000], [0.777, 0.251, 0.878], [0.973, 0.601, 0.724], [0.627, 0.749, 0.526], [0.123, 0.399, 0.372], [0.474, 0.101, 0.223], [0.628, 0.751, 0.027], [0.276, 0.249, 0.877], [0.122, 0.899, 0.373]]
}

---

{
  "formula": "CaCe2TmHg4",
  "functional": "GGA-PBE",
  "state": "optimized geometry",
  "spacegroup": "No. 166",
  "dos_at_fermi_per_ev_cell": 18.23,
  "formation_energy_mev_per_atom": -408.0,
  "cell": [[-4.557, -1.310, 2.495], [-3.580, -3.151, -2.441], [1.174, -8.535, 3.417]],
  "species": ["Ca", "Ce", "Ce", "Tm", "Hg", "Hg", "Hg", "Hg"],
  "frac_coords": [[0.000, 0.000, 0.000], [0.750, 0.750, 0.750], [0.250, 0.250, 0.250], [0.500, 0.500, 0.500], [0.377, 0.377, 0.870], [0.874, 0.874, 0.379], [0.126, 0.126, 0.621], [0.623, 0.623, 0.130]]
}

---

{
  "formula": "SnRhS4",
  "functional": "GGA-PBE",
  "state": "optimized geometry",
  "spacegroup": "No. 12",
  "e_form_raw_ev_per_atom": -0.32,
  "dos_at_fermi_per_ev_cell": 9.61,
  "cell": [[3.591, 0.000, 0.000], [0.000, 6.264, -1.298], [0.000, -0.432, 11.332]],
  "species": ["Sn", "Sn", "Rh", "Rh", "S", "S", "S", "S", "S", "S", "S", "S"],
  "frac_coords": [[0.500, 0.000, 0.500], [0.000, 0.000, 0.000], [0.000, 0.500, 0.500], [0.500, 0.500, 0.000], [0.500, 0.598, 0.384], [0.000, 0.402, 0.116], [0.500, 0.402, 0.616], [0.000, 0.598, 0.884], [0.000, 0.144, 0.375], [0.500, 0.856, 0.125], [0.000, 0.856, 0.625], [0.500, 0.144, 0.875]]
}

---

{
  "formula": "MnCr2Ag",
  "functional": "GGA-PBE",
  "state": "optimized geometry",
  "spacegroup": "No. 166",
  "relative_energy_kcal_per_mol_atoms": 4.51,
  "dos_at_fermi_per_ev_cell": 5.67,
  "formation_energy_mev_per_atom": 492.5,
  "cell": [[8.920, 0.022, 0.013], [8.528, 2.615, 0.013], [8.528, 1.289, 2.275]],
  "species": ["Ag", "Cr", "Cr", "Mn"],
  "frac_coords": [[0.750, 0.750, 0.750], [0.990, 0.990, 0.990], [0.510, 0.510, 0.510], [0.250, 0.250, 0.250]]
}

---

{
  "formula": "K2TbAg2Se4",
  "functional": "GGA-PBE",
  "state": "optimized geometry",
  "spacegroup": "No. 12",
  "e_form_raw_ev_per_atom": -1.02,
  "dos_at_fermi_per_ev_cell": 4.38,
  "cell": [[4.164, 0.000, 0.000], [0.000, 8.078, 0.339], [-2.082, -2.896, 7.222]],
  "species": ["K", "K", "Tb", "Ag", "Ag", "Se", "Se", "Se", "Se"],
  "frac_coords": [[0.130, 0.565, 0.260], [0.870, 0.435, 0.740], [0.000, 0.000, 0.000], [0.679, 0.983, 0.358], [0.321, 0.017, 0.642], [0.198, 0.200, 0.396], [0.802, 0.800, 0.604], [0.511, 0.757, 0.021], [0.489, 0.243, 0.979]]
}

---

{
  "formula": "PrSmAs2Rh5",
  "functional": "GGA-PBE",
  "state": "optimized geometry",
  "spacegroup": "No. 123",
  "dos_at_fermi_per_ev_cell": 4.00,
  "formation_energy_mev_per_atom": -733.2,
  "cell": [[-1.170, 3.380, -2.368], [-3.678, -1.971, -0.995], [-3.898, 3.663, 7.154]],
  "species": ["Pr", "Sm", "As", "As", "Rh", "Rh", "Rh", "Rh", "Rh"],
  "frac_coords": [[0.000, 0.000, 0.500], [0.000, 0.000, 0.000], [0.500, 0.500, 0.149], [0.500, 0.500, 0.851], [0.000, 0.500, 0.264], [0.500, 0.000, 0.264], [0.000, 0.500, 0.736], [0.500, 0.000, 0.736], [0.500, 0.500, 0.500]]
}

---

{
  "formula": "NbTeHPd",
  "functional": "GGA-PBE",
  "state": "optimized geometry",
  "spacegroup": "No. 8",
  "relative_energy_kcal_per_mol_atoms": 0.47,
  "dos_at_fermi_per_ev_cell": 0.44,
  "cell": [[-2.505, -5.549, -2.302], [3.158, -1.386, -0.095], [0.024, -0.355, 5.966]],
  "species": ["Nb", "Nb", "Te", "Te", "H", "H", "Pd", "Pd"],
  "frac_coords": [[0.510, 0.000, 0.899], [0.510, 0.500, 0.399], [0.831, 0.000, 0.672], [0.831, 0.500, 0.172], [0.444, 0.000, 0.210], [0.444, 0.500, 0.710], [0.197, 0.000, 0.462], [0.197, 0.500, 0.962]]
}

---

{
  "formula": "KAgBr2",
  "functional": "GGA-PBE",
  "state": "optimized geometry",
  "spacegroup": "No. 65",
  "e_form_raw_ev_per_atom": -0.89,
  "dos_at_fermi_per_ev_cell": 0.00,
  "cell": [[-0.894, -4.141, 0.669], [3.136, 1.000, -2.748], [5.401, -0.181, 6.098]],
  "species": ["Ag", "Br", "Br", "K"],
  "frac_coords": [[0.500, 0.500, 0.750], [0.000, 0.000, 0.972], [0.000, 0.000, 0.528], [0.500, 0.500, 0.250]]
}